[1]
Density functional theory data (PBE) for a relaxed structure of CeTh4Hg.

Lattice parameters (Å, degrees): 3.552 3.552 14.394 90.00 90.00 90.00
Atoms (fractional coordinates):
Hg (0.500, 0.500, 0.500)
Th (0.000, 0.000, 0.657)
Ce (0.000, 0.000, 0.000)
Th (0.500, 0.500, 0.166)
Th (0.500, 0.500, 0.834)
Th (0.000, 0.000, 0.343)

Properties
- ΔH_f (0 K): -0.057 eV per atom
- Symmetry: No. 123
- E: -6.042 eV per atom

---

[2]
Density functional theory data (PBE) for a relaxed structure of TaTiAs2.

Lattice parameters (Å, degrees): 3.451 3.452 6.795 90.00 90.00 60.00
Atoms (fractional coordinates):
As (0.340, 0.773, 0.665)
Ti (0.674, 0.107, 0.420)
As (0.007, 0.440, 0.175)
Ta (0.674, 0.107, 0.920)

Properties
- ΔH_f (0 K): -0.662 eV per atom
- Symmetry: No. 164
- E: -7.923 eV per atom

---

[3]
Density functional theory data (PBE) for a relaxed structure of Ho4Al2Tl.

Lattice parameters (Å, degrees): 5.116 5.116 8.826 73.15 73.15 60.00
Atoms (fractional coordinates):
Ho (0.384, 0.384, 0.848)
Tl (0.000, 0.000, 0.000)
Al (0.750, 0.750, 0.751)
Ho (0.616, 0.616, 0.152)
Ho (0.130, 0.130, 0.609)
Ho (0.870, 0.870, 0.391)
Al (0.250, 0.250, 0.249)

Properties
- ΔH_f (0 K): -0.208 eV per atom
- Symmetry: No. 166
- E: -4.231 eV per atom

---

[4]
Density functional theory data (PBE) for a relaxed structure of InReTc2Mo.

Lattice parameters (Å, degrees): 4.684 4.769 4.684 90.00 90.00 90.00
Last column: magnetic moment on the atom in μB.
Atoms (fractional coordinates):
Tc (0.500, 0.000, 0.000)  0.72
In (0.500, 0.500, 0.500)  -0.04
Re (0.000, 0.500, 0.000)  0.50
Tc (0.000, 0.000, 0.500)  0.70
Mo (0.000, 0.000, 0.000)  -0.15

Properties
- ΔH_f (0 K): 1.678 eV per atom
- Symmetry: No. 123
- E: -7.672 eV per atom

---

[5]
Density functional theory data (PBE) for a relaxed structure of LaEuS2.

Lattice parameters (Å, degrees): 7.188 7.188 7.188 33.52 33.52 33.52
Last column: magnetic moment on the atom in μB.
Atoms (fractional coordinates):
La (0.500, 0.500, 0.500)  0.02
Eu (0.000, 0.000, 0.000)  6.78
S (0.251, 0.251, 0.251)  -0.03
S (0.749, 0.749, 0.749)  -0.03

Properties
- Symmetry: No. 166
- Uncorrected formation energy: -829 kJ/mol of formula units
- E: -8.012 eV per atom